#P
The following is a PBE-GGA calculation of a relaxed structure of Tb6Dy2Ho3, from Alexandria.

abc: 16.871 16.871 16.871
angles: 163.99 163.99 22.72
Positions (direct):
Tb 0.121 0.621 0.500
Tb 0.197 0.197 0.000
Tb 0.379 0.879 0.500
Tb 0.621 0.121 0.500
Tb 0.803 0.803 0.000
Tb 0.879 0.379 0.500
Dy 0.046 0.046 0.000
Dy 0.954 0.954 0.000
Ho 0.300 0.300 0.000
Ho 0.500 0.500 0.000
Ho 0.700 0.700 0.000

Theoretical density = 8.06 g/cm³

=====

#Q
The following is a PBE-GGA calculation of a relaxed structure of Tb6Dy2Ho3, from Alexandria.

abc: 31.778 31.778 31.778
angles: 6.39 6.39 6.39
Positions (direct):
Tb 0.091 0.091 0.091
Tb 0.182 0.182 0.182
Tb 0.364 0.364 0.364
Tb 0.636 0.636 0.636
Tb 0.818 0.818 0.818
Tb 0.909 0.909 0.909
Dy 0.454 0.454 0.454
Dy 0.546 0.546 0.546
Ho 0.000 0.000 0.000
Ho 0.273 0.273 0.273
Ho 0.727 0.727 0.727

Theoretical density = 8.55 g/cm³

=====

Which of them is most stable? Easy: #Q.

=====

#P
The following is a PBE-GGA calculation of a relaxed structure of Tb6DyHo2, from Alexandria.

abc: 3.545 8.673 9.371
angles: 90.02 100.86 90.06
Positions (direct):
Tb 0.111 0.166 0.221
Tb 0.222 0.834 0.444
Tb 0.334 0.500 0.667
Tb 0.666 0.500 0.333
Tb 0.778 0.166 0.556
Tb 0.889 0.834 0.779
Dy 0.000 0.500 0.000
Ho 0.444 0.167 0.889
Ho 0.556 0.833 0.111

Theoretical density = 8.48 g/cm³

=====

#Q
The following is a PBE-GGA calculation of a relaxed structure of Tb6DyHo2, from Alexandria.

abc: 9.526 9.526 6.553
angles: 99.44 99.44 96.11
Positions (direct):
Tb 0.038 0.440 0.726
Tb 0.148 0.780 0.997
Tb 0.220 0.852 0.503
Tb 0.278 0.454 0.182
Tb 0.440 0.038 0.226
Tb 0.454 0.278 0.682
Tb 0.546 0.722 0.318
Tb 0.560 0.962 0.774
Tb 0.722 0.546 0.818
Tb 0.780 0.148 0.497
Tb 0.852 0.220 0.003
Tb 0.962 0.560 0.274
Dy 0.380 0.620 0.750
Dy 0.620 0.380 0.250
Ho 0.118 0.165 0.367
Ho 0.165 0.118 0.867
Ho 0.835 0.882 0.133
Ho 0.882 0.835 0.633

Theoretical density = 8.38 g/cm³

=====

Which of them is most stable? Easy: #P.

=====

#P
The following is a PBE-GGA calculation of a relaxed structure of Tb6Dy4Ho, from Alexandria.

abc: 5.575 5.575 25.466
angles: 90.00 90.00 118.29
Positions (direct):
Tb 0.000 0.000 0.000
Tb 0.000 0.000 0.500
Tb 0.036 0.964 0.750
Tb 0.301 0.699 0.104
Tb 0.301 0.699 0.396
Tb 0.369 0.631 0.682
Tb 0.369 0.631 0.818
Tb 0.631 0.369 0.182
Tb 0.631 0.369 0.318
Tb 0.699 0.301 0.604
Tb 0.699 0.301 0.896
Tb 0.964 0.036 0.250
Dy 0.040 0.960 0.622
Dy 0.040 0.960 0.878
Dy 0.348 0.652 0.543
Dy 0.348 0.652 0.957
Dy 0.652 0.348 0.043
Dy 0.652 0.348 0.457
Dy 0.960 0.040 0.122
Dy 0.960 0.040 0.378
Ho 0.300 0.700 0.250
Ho 0.700 0.300 0.750

Theoretical density = 8.43 g/cm³

=====

#Q
The following is a PBE-GGA calculation of a relaxed structure of Tb6Dy4Ho, from Alexandria.

abc: 8.498 8.498 8.498
angles: 127.83 127.83 76.90
Positions (direct):
Tb 0.000 0.500 0.500
Tb 0.045 0.582 0.000
Tb 0.418 0.418 0.463
Tb 0.500 0.000 0.500
Tb 0.582 0.045 0.000
Tb 0.955 0.955 0.537
Dy 0.254 0.254 0.667
Dy 0.413 0.746 0.000
Dy 0.587 0.587 0.333
Dy 0.746 0.413 0.000
Ho 0.000 0.000 0.000

Theoretical density = 7.90 g/cm³

=====

Which of them is most stable? Easy: #P.

=====

#P
The following is a PBE-GGA calculation of a relaxed structure of TbDy2Ho5, from Alexandria.

abc: 6.556 8.732 9.487
angles: 88.02 84.37 68.05
Positions (direct):
Tb 0.041 0.416 0.250
Tb 0.959 0.584 0.750
Dy 0.275 0.628 0.426
Dy 0.401 0.373 0.926
Dy 0.599 0.627 0.074
Dy 0.725 0.372 0.574
Ho 0.023 0.795 0.054
Ho 0.032 0.019 0.342
Ho 0.316 0.205 0.553
Ho 0.394 0.715 0.751
Ho 0.447 0.016 0.158
Ho 0.553 0.984 0.842
Ho 0.606 0.285 0.249
Ho 0.684 0.795 0.447
Ho 0.968 0.981 0.658
Ho 0.977 0.205 0.946

Theoretical density = 8.67 g/cm³

=====

#Q
The following is a PBE-GGA calculation of a relaxed structure of TbDy2Ho5, from Alexandria.

abc: 7.052 14.104 4.980
angles: 90.00 90.00 90.00
Positions (direct):
Tb 0.000 0.000 0.000
Tb 0.500 0.500 0.000
Dy 0.250 0.125 0.500
Dy 0.250 0.625 0.500
Dy 0.750 0.375 0.500
Dy 0.750 0.875 0.500
Ho 0.000 0.500 0.000
Ho 0.001 0.750 0.000
Ho 0.249 0.375 0.500
Ho 0.251 0.875 0.500
Ho 0.499 0.250 0.000
Ho 0.500 0.000 0.000
Ho 0.501 0.750 0.000
Ho 0.749 0.125 0.500
Ho 0.751 0.625 0.500
Ho 0.999 0.250 0.000

Theoretical density = 8.77 g/cm³

=====

Which of them is most stable? Easy: #Q.

=====

#P
The following is a PBE-GGA calculation of a relaxed structure of Tb2DyHo3, from Alexandria.

abc: 8.977 8.977 14.050
angles: 116.87 116.87 22.34
Positions (direct):
Tb 0.157 0.157 0.469
Tb 0.319 0.319 0.117
Tb 0.681 0.681 0.883
Tb 0.843 0.843 0.531
Dy 0.062 0.062 0.644
Dy 0.938 0.938 0.356
Ho 0.099 0.099 0.026
Ho 0.239 0.239 0.292
Ho 0.461 0.461 0.787
Ho 0.539 0.539 0.213
Ho 0.761 0.761 0.708
Ho 0.901 0.901 0.974

Theoretical density = 8.48 g/cm³

=====

#Q
The following is a PBE-GGA calculation of a relaxed structure of Tb2DyHo3, from Alexandria.

abc: 9.348 9.348 6.105
angles: 90.13 90.13 44.40
Positions (direct):
Tb 0.042 0.292 0.417
Tb 0.292 0.042 0.917
Tb 0.708 0.958 0.083
Tb 0.958 0.708 0.583
Dy 0.375 0.625 0.750
Dy 0.625 0.375 0.250
Ho 0.125 0.875 0.250
Ho 0.209 0.458 0.083
Ho 0.458 0.209 0.583
Ho 0.542 0.791 0.417
Ho 0.791 0.542 0.917
Ho 0.875 0.125 0.750

Theoretical density = 8.68 g/cm³

=====

Which of them is most stable? Easy: #Q.

=====

#P
The following is a PBE-GGA calculation of a relaxed structure of TbDy7Ho2, from Alexandria.

abc: 9.462 9.462 5.276
angles: 90.00 90.00 125.52
Positions (direct):
Tb 0.000 0.000 0.000
Dy 0.068 0.289 0.500
Dy 0.201 0.799 0.000
Dy 0.289 0.068 0.500
Dy 0.500 0.500 0.500
Dy 0.711 0.932 0.500
Dy 0.799 0.201 0.000
Dy 0.932 0.711 0.500
Ho 0.298 0.702 0.500
Ho 0.702 0.298 0.500

Theoretical density = 7.02 g/cm³

=====

#Q
The following is a PBE-GGA calculation of a relaxed structure of TbDy7Ho2, from Alexandria.

abc: 6.113 6.126 9.338
angles: 102.63 108.98 99.64
Positions (direct):
Tb 0.000 0.000 0.000
Dy 0.000 0.500 0.500
Dy 0.200 0.500 0.900
Dy 0.400 0.000 0.799
Dy 0.400 0.500 0.300
Dy 0.600 0.000 0.201
Dy 0.600 0.500 0.700
Dy 0.800 0.500 0.100
Ho 0.200 0.000 0.400
Ho 0.800 0.000 0.600

Theoretical density = 8.66 g/cm³

=====

Which of them is most stable? Easy: #Q.